No. 1
## BaAl2SnPt (PBE)

Data for an optimized crystal structure of BaAl2SnPt.

Summary:
E_form: -0.2867 eV per atom
Total magnetization: 0.00 Bohr magnetons per cell
Space group: No. 123
Total energy: -20.89 eV per cell

a b c (Å): 4.912 4.912 5.965
angles (deg): 90.00 90.00 90.00
Fractional positions:
Ba1 0.000 0.000 0.000
Al1 0.000 0.500 0.500
Al2 0.500 0.000 0.500
Sn1 0.500 0.500 0.000
Pt1 0.000 0.000 0.500

No. 2
## NpCrS (PBE)

Data for an optimized crystal structure of NpCrS.

Summary:
Total magnetization: 0.01 Bohr magnetons per cell
Space group: No. 129
Total energy: -53.53 eV per cell
Formation energy (no corrections): -0.07 eV per formula unit

a b c (Å): 2.836 2.836 12.350
angles (deg): 90.00 90.00 90.00
Fractional positions:
Np1 0.250 0.250 0.101
Np2 0.750 0.750 0.899
Cr1 0.250 0.250 0.728
Cr2 0.750 0.750 0.272
S1 0.250 0.250 0.360
S2 0.750 0.750 0.640

No. 3
## ZrWCl2 (PBE)

Data for an optimized crystal structure of ZrWCl2.

Summary:
Total magnetization: 0.00 Bohr magnetons per cell
Space group: No. 6
Total energy: -26.38 eV per cell
Relative energy among the computed polymorphs: 210 meV per atom
Formation energy (no corrections): -1.19 eV per formula unit

a b c (Å): 3.986 3.227 7.709
angles (deg): 90.00 104.00 90.00
Fractional positions:
Zr1 0.000 0.000 0.000
W1 0.556 0.500 0.162
Cl1 0.340 0.500 0.821
Cl2 0.673 0.000 0.412

No. 4
## MnP2S2 (PBE)

Data for an optimized crystal structure of MnP2S2.

Summary:
Total magnetization: 3.64 Bohr magnetons per cell
Space group: No. 123
Total energy: -23.78 eV per cell
Relative energy among the computed polymorphs: 365 meV per atom
Formation energy (no corrections): 4.46 eV per formula unit

a b c (Å): 4.545 4.545 4.466
angles (deg): 90.00 90.00 90.00
Fractional positions:
Mn1 0.000 0.000 0.000
P1 0.000 0.500 0.500
P2 0.500 0.000 0.500
S1 0.500 0.500 0.000
S2 0.500 0.500 0.500